Entry from Alexandria via LeMat-Bulk: a geometry-optimized HfRu structure (PBE).

a b c (Å): 3.7605 3.7605 3.7605
angles (deg): 60.00 60.00 60.00
Fractional positions:
Hf: 0.0000 0.0000 0.0000
Ru: 0.5000 0.5000 0.5000

The electronic total energy comes out at -9.6432 eV per atom.